Material: KNbZn
Method: DFT, PBE
State: relaxed

Structure (extended XYZ):
```
12
Lattice="5.0092 0.0000 0.0000 0.0000 13.2897 0.0000 0.0000 0.0000 4.9859" Properties=species:S:1:pos:R:3 pbc="T T T"
K 0.0000 2.8760 1.2465
K 0.0000 10.4137 3.7394
K 2.5046 3.7689 3.7394
K 2.5046 9.5209 1.2465
Nb 0.0000 6.6449 0.0000
Nb 0.0000 6.6449 2.4929
Nb 2.5046 0.0000 0.0000
Nb 2.5046 0.0000 2.4929
Zn 0.0000 0.4261 3.7394
Zn 0.0000 12.8636 1.2465
Zn 2.5046 6.2188 1.2465
Zn 2.5046 7.0710 3.7394
```

Calculated values
energy above the lowest structure with this stoichiometry = 0.262 eV per atom
D(E_F) = 10.201 states/eV/cell
formation energy = 0.492 eV per atom